No. 1
Entry from Alexandria: a relaxed HgPdCl2 crystal (PBE).

## Properties
energy above the lowest structure with this stoichiometry	342	meV per atom
E_form (uncorrected)	0.097	eV/atom
DOS at the Fermi energy	2.457	states/eV/f.u.
space group	No. 225
spin magnetization	0.0	μB/f.u.

Cell and atoms, written as POSCAR:
```
HgPdCl2
1.0
-3.0114 2.2285 3.0792
-0.9023 4.7390 -0.4936
-4.3555 1.4933 -1.5218
Hg Pd Cl
1 1 2
direct
0.5000 0.5000 0.5000
0.0000 0.0000 0.0000
0.2500 0.2500 0.2500
0.7500 0.7500 0.7500
```


No. 2
Entry from Alexandria: a relaxed Dy4HgPd2Ru crystal (PBE).

## Properties
energy of formation	-0.660	eV/atom
DOS at the Fermi energy	5.088	states/eV/f.u.
space group	No. 166
spin magnetization	0.0	μB/f.u.

Cell and atoms, written as POSCAR:
```
Dy4HgPd2Ru
1.0
-0.5366 -4.5364 2.0374
0.0096 -4.0665 -2.9122
7.9427 -3.4504 0.5491
Dy Hg Pd Ru
4 1 2 1
direct
0.3831 0.3831 0.8508
0.8692 0.8692 0.3924
0.1308 0.1308 0.6076
0.6169 0.6169 0.1492
0.0000 0.0000 0.0000
0.7501 0.7501 0.7497
0.2499 0.2499 0.2503
0.5000 0.5000 0.5000
```


No. 3
Entry from Alexandria: a relaxed YSc2Se crystal (PBE).

## Properties
E_form (uncorrected)	-0.658	eV/atom
DOS at the Fermi energy	3.180	states/eV/f.u.
space group	No. 71
spin magnetization	0.0	μB/f.u.

Cell and atoms, written as POSCAR:
```
YSc2Se
1.0
6.1705 0.0028 0.0126
5.2244 3.2834 0.0126
2.2480 0.6483 4.7342
Sc Se Y
2 1 1
direct
0.0426 0.0426 0.9573
0.4574 0.4574 0.5427
0.7500 0.7500 0.7500
0.2500 0.2500 0.2500
```


No. 4
Entry from Alexandria: a relaxed SrLiMg2 crystal (PBE).

## Properties
energy above the lowest structure with this stoichiometry	175	meV per atom
energy of formation	0.136	eV/atom
DOS at the Fermi energy	2.144	states/eV/f.u.
space group	No. 65
spin magnetization	0.0	μB/f.u.

Cell and atoms, written as POSCAR:
```
SrLiMg2
1.0
5.1647 0.0000 0.0431
0.0000 6.0911 0.0000
-0.0325 -3.0455 3.9145
Sr Li Mg
1 1 2
direct
0.5000 0.5000 0.0000
0.5000 0.0000 0.0000
0.9999 0.8120 0.6240
0.0001 0.1880 0.3760
```


No. 5
Entry from Alexandria: a relaxed Sb4Mo crystal (PBE).

## Properties
energy above the lowest structure with this stoichiometry	327	meV per atom
E_form (uncorrected)	0.420	eV/atom
DOS at the Fermi energy	5.038	states/eV/f.u.
space group	No. 229
spin magnetization	1.1	μB/f.u.

Cell and atoms, written as POSCAR:
```
Sb4Mo
1.0
-3.2602 3.2602 3.2602
3.2602 -3.2602 3.2602
3.2602 3.2602 -3.2602
Sb Mo
4 1
direct
0.5000 0.0000 0.0000
0.5000 0.5000 0.5000
0.0000 0.5000 0.0000
0.0000 0.0000 0.5000
0.0000 0.0000 0.0000
```


No. 6
Entry from Alexandria: a relaxed Ti8NiH2 crystal (PBE).

## Properties
DOS at the Fermi energy	13.104	states/eV/f.u.
raw total energy	-6.851	eV/atom
space group	No. 12
spin magnetization	0.0	μB/f.u.

Cell and atoms, written as POSCAR:
```
Ti8NiH2
1.0
3.8792 -0.1025 -0.0852
-0.0885 6.4320 -0.1331
-0.0885 1.0451 6.3479
Ti Ni H
8 1 2
direct
0.7584 0.1093 0.6359
0.2416 0.3641 0.8907
0.7107 0.2024 0.2024
0.2893 0.7976 0.7976
0.7584 0.6359 0.1093
0.2416 0.8907 0.3641
0.2401 0.4038 0.4038
0.7599 0.5962 0.5962
0.0000 0.0000 0.0000
0.2148 0.2024 0.2024
0.7852 0.7976 0.7976
```


No. 7
Entry from Alexandria: a relaxed CsHfS3 crystal (PBE).

## Properties
energy above the lowest structure with this stoichiometry	246	meV per atom
E_form (uncorrected)	-1.151	eV/atom
space group	No. 62
spin magnetization	0.0	μB/f.u.

Cell and atoms, written as POSCAR:
```
CsHfS3
1.0
-7.3856 -0.6913 1.4283
-1.4389 -1.8056 -8.3142
1.4351 -10.9373 2.1269
Cs Hf S
4 4 12
direct
0.0000 0.5000 0.0000
0.5000 0.0000 0.5000
0.5000 0.0000 0.0000
0.0000 0.5000 0.5000
0.4919 0.4140 0.7500
0.0081 0.9140 0.2500
0.5081 0.5860 0.2500
0.9919 0.0860 0.7500
0.9686 0.0886 0.0932
0.5314 0.5886 0.5932
0.5314 0.5886 0.9068
0.0314 0.9114 0.5932
0.0314 0.9114 0.9068
0.4686 0.4114 0.4068
0.4686 0.4114 0.0932
0.9686 0.0886 0.4068
0.6948 0.1955 0.7500
0.8052 0.6955 0.2500
0.3052 0.8045 0.2500
0.1948 0.3045 0.7500
```


No. 8
Entry from Alexandria: a relaxed BaIn2Hg8 crystal (PBE).

## Properties
energy above the lowest structure with this stoichiometry	78	meV per atom
energy of formation	-0.082	eV/atom
DOS at the Fermi energy	5.400	states/eV/f.u.
space group	No. 123
spin magnetization	0.0	μB/f.u.

Cell and atoms, written as POSCAR:
```
BaIn2Hg8
1.0
-4.2108 -3.2128 -5.3019
2.1114 -6.7694 2.4252
-4.9783 -0.1120 4.0216
Ba In Hg
1 2 8
direct
0.5000 0.5000 0.5000
0.5000 0.0000 0.0000
0.0000 0.5000 0.0000
0.7923 0.7923 0.2581
0.7923 0.2077 0.7419
0.7923 0.7923 0.7419
0.7923 0.2077 0.2581
0.2077 0.7923 0.2581
0.2077 0.7923 0.7419
0.2077 0.2077 0.2581
0.2077 0.2077 0.7419
```


No. 9
Entry from Alexandria: a relaxed Na3NbCl7 crystal (PBE).

## Properties
E_form (uncorrected)	-1.455	eV/atom
DOS at the Fermi energy	5.897	states/eV/f.u.
space group	No. 8
spin magnetization	1.0	μB/f.u.

Cell and atoms, written as POSCAR:
```
Na3NbCl7
1.0
6.2530 -0.2728 2.6284
-1.7030 6.0228 2.6284
-0.4365 -0.5516 7.0460
Na Nb Cl
3 1 7
direct
0.7832 0.2464 0.4845
0.4734 0.4734 0.0791
0.2464 0.7832 0.4845
0.9535 0.9535 0.0226
0.1256 0.1256 0.2089
0.6491 0.1104 0.1876
0.0155 0.3212 0.7334
0.1104 0.6491 0.1876
0.6303 0.6303 0.3339
0.3212 0.0155 0.7334
0.8164 0.8164 0.7945
```


No. 10
Entry from Alexandria: a relaxed LaHfAs2 crystal (PBE).

## Properties
energy above the lowest structure with this stoichiometry	0	meV per atom
energy of formation	-1.279	eV/atom
DOS at the Fermi energy	1.766	states/eV/f.u.
space group	No. 166
spin magnetization	0.0	μB/f.u.

Cell and atoms, written as POSCAR:
```
LaHfAs2
1.0
4.0472 0.0000 0.0000
2.0236 3.5050 0.0000
2.0236 1.1683 6.7686
As Hf La
2 1 1
direct
0.2608 0.2608 0.2177
0.7392 0.7392 0.7823
0.0000 0.0000 0.0000
0.5000 0.5000 0.5000
```


No. 11
Entry from Alexandria: a relaxed Rb3PPt crystal (PBE).

## Properties
energy above the lowest structure with this stoichiometry	50	meV per atom
energy of formation	-0.160	eV/atom
DOS at the Fermi energy	4.917	states/eV/f.u.
space group	No. 59
spin magnetization	0.0	μB/f.u.

Cell and atoms, written as POSCAR:
```
Rb3PPt
1.0
5.4308 0.0003 0.0008
-0.0004 6.7518 0.0037
-0.0015 -0.0048 10.2057
Rb P Pt
6 2 2
direct
0.2500 0.7517 0.5448
0.2500 0.2482 0.7500
0.2500 0.7517 0.9552
0.7500 0.2483 0.4552
0.7500 0.2483 0.0448
0.7500 0.7518 0.2500
0.2500 0.0817 0.2500
0.7500 0.9183 0.7500
0.7500 0.5912 0.7500
0.2500 0.4088 0.2500
```


No. 12
Entry from Alexandria: a relaxed Si2WSe crystal (PBE).

## Properties
E_form (uncorrected)	0.519	eV/atom
DOS at the Fermi energy	2.171	states/eV/f.u.
space group	No. 35
spin magnetization	0.0	μB/f.u.

Cell and atoms, written as POSCAR:
```
Si2WSe
1.0
2.8515 0.0276 0.0000
-1.0427 2.6541 0.0000
0.0000 0.0000 9.2313
Se Si W
1 2 1
direct
0.5000 0.5000 0.7038
0.0000 0.0000 0.0539
0.5000 0.5000 0.2621
0.0000 0.0000 0.4803
```